PBE BeTl3Co, relaxed; calculated total energy = -2.69 eV/atom; formation enthalpy at 0 K = 0.89 eV per atom
1.0
4.9499 0.0000 0.0000
0.0000 4.9499 0.0000
0.0000 0.0000 4.9499
Be Tl Co
1 3 1
direct
0.0000 0.0000 0.0000 Be
0.0000 0.0000 0.5000 Tl
0.5000 0.0000 0.0000 Tl
0.0000 0.5000 0.0000 Tl
0.5000 0.5000 0.5000 Co

PBE BeTl2Co, relaxed; calculated total energy = -3.14 eV/atom; formation enthalpy at 0 K = 0.75 eV per atom
1.0
-1.5236 1.8119 3.7815
-4.0295 1.1690 1.5167
-1.4404 -4.3069 2.8164
Be Tl Co
1 2 1
direct
0.7500 0.7500 0.7500 Be
0.5003 0.5003 0.5011 Tl
0.9997 0.9997 0.9989 Tl
0.2500 0.2500 0.2500 Co

PBE BeTlCo2, relaxed; calculated total energy = -4.44 eV/atom; formation enthalpy at 0 K = 0.64 eV per atom
1.0
3.8582 0.0000 0.0000
0.0000 3.8582 0.0000
1.9291 1.9291 8.2004
Tl Co Be
2 4 2
direct
0.0000 0.0000 0.0000 Tl
0.7500 0.2500 0.5000 Tl
0.2366 0.1250 0.2500 Co
0.3750 0.7634 0.7500 Co
0.5134 0.6250 0.2500 Co
0.8750 0.4866 0.7500 Co
0.5000 0.5000 0.0000 Be
0.2500 0.7500 0.5000 Be

PBE BeTl2Co, relaxed; calculated total energy = -3.15 eV/atom; formation enthalpy at 0 K = 0.74 eV per atom
1.0
-4.8290 -1.1267 -2.0133
-0.3349 -4.0768 -3.4510
2.1096 0.8528 4.8440
Co Be Tl
1 1 2
direct
0.7500 0.2500 0.5000 Co
0.5000 0.5000 0.0000 Be
0.2500 0.7500 0.5000 Tl
0.0000 0.0000 0.0000 Tl

PBE BeTlCo2, relaxed; calculated total energy = -4.76 eV/atom; formation enthalpy at 0 K = 0.32 eV per atom
1.0
-1.7549 2.1644 -0.7167
-1.8354 -1.8776 -1.1763
-2.9804 -0.5735 5.5661
Tl Be Co
1 1 2
direct
0.5000 0.5000 0.2500 Tl
0.5000 0.5000 0.7500 Be
0.0000 0.0000 0.5684 Co
0.0000 0.0000 0.9316 Co

PBE BeTl2Co, relaxed; calculated total energy = -3.46 eV/atom; formation enthalpy at 0 K = 0.43 eV per atom
1.0
-2.7967 0.7048 -2.3592
0.7421 -3.3785 -1.8891
-2.7078 -4.0045 2.0136
Tl Be Co
2 1 1
direct
0.5000 0.2735 0.3275 Tl
0.0000 0.9791 0.9174 Tl
0.0000 0.6813 0.5125 Be
0.5000 0.5661 0.7426 Co

PBE BeTl3Co, relaxed; calculated total energy = -2.88 eV/atom; formation enthalpy at 0 K = 0.70 eV per atom
1.0
-5.0015 -0.7814 -0.3300
0.8199 -4.9597 -0.6810
-0.2177 -0.7248 5.0162
Be Co Tl
1 1 3
direct
0.5000 0.5000 0.5000 Be
0.0000 0.0000 0.0000 Co
0.0000 0.0000 0.5000 Tl
0.5000 0.0000 0.0000 Tl
0.0000 0.5000 0.0000 Tl

PBE BeTl2Co, relaxed; calculated total energy = -3.17 eV/atom; formation enthalpy at 0 K = 0.73 eV per atom
1.0
-2.6505 -1.9565 0.8919
1.2788 -2.5744 -1.8469
3.0355 -1.9287 4.7901
Be Tl Co
1 2 1
direct
0.5000 0.5000 0.2500 Be
0.0000 0.0000 0.9998 Tl
0.0000 0.0000 0.5002 Tl
0.5000 0.5000 0.7500 Co

Number 1: energy relative to the lowest polymorph listed for this composition 0.1892 eV/atom. Number 2: energy relative to the lowest polymorph listed for this composition 0.3919 eV/atom. Number 3: energy relative to the lowest polymorph listed for this composition 0.3246 eV/atom. Number 4: energy relative to the lowest polymorph listed for this composition 0.3803 eV/atom. Number 5: energy relative to the lowest polymorph listed for this composition 0.0000 eV/atom. Number 6: energy relative to the lowest polymorph listed for this composition 0.0686 eV/atom. Number 7: energy relative to the lowest polymorph listed for this composition 0.0000 eV/atom. Number 8: energy relative to the lowest polymorph listed for this composition 0.3629 eV/atom.